(1)
CdSi2Ge | PBE-GGA | relaxed

Results
space group: F-43m, No. 216

The structure in extended XYZ format:
```
4
Lattice="0.000 3.325 3.325 3.325 0.000 3.325 3.325 3.325 0.000" Properties=species:S:1:pos:R:3 pbc="T T T"
Ge 0.000 0.000 0.000
Si 3.325 3.325 3.325
Si 1.662 1.662 1.662
Cd 4.987 4.987 4.987
```



(2)
ErZn6Ag6 | PBE-GGA | relaxed

Results
space group: Immm, No. 71
energy relative to the elements: -162 meV/atom

The structure in extended XYZ format:
```
13
Lattice="-2.582 4.613 4.657 2.582 -4.613 4.657 2.582 4.613 -4.657" Properties=species:S:1:pos:R:3 pbc="T T T"
Er 0.000 0.000 0.000
Ag 0.000 6.032 0.000
Ag 0.000 3.194 0.000
Ag 0.000 2.834 4.657
Ag 2.582 1.779 0.000
Ag 0.000 0.000 6.096
Ag 0.000 0.000 3.218
Zn 1.291 -2.307 2.329
Zn 2.582 0.000 2.118
Zn -1.291 2.307 2.329
Zn 0.000 4.613 2.540
Zn 1.291 2.307 2.329
Zn 1.291 2.307 -2.329
```



(3)
ScInFeSe3 | PBE-GGA | relaxed

Results
space group: Pnma, No. 62
polymorph energy (0 for the lowest one): 69.5 meV/atom

The structure in extended XYZ format:
```
24
Lattice="3.811 0.000 0.000 0.000 11.553 0.000 0.000 0.000 12.065" Properties=species:S:1:pos:R:3 pbc="T T T"
Sc 2.858 7.767 0.282
Sc 2.858 9.562 6.315
Sc 0.953 3.786 11.782
Sc 0.953 1.991 5.750
Se 2.858 3.951 5.806
Se 0.953 9.727 0.227
Se 2.858 8.138 2.969
Se 0.953 7.602 6.259
Se 2.858 5.066 1.223
Se 2.858 0.711 7.255
Se 0.953 6.487 10.842
Se 2.858 9.191 9.001
Se 2.858 1.826 11.838
Se 0.953 2.362 3.063
Se 0.953 10.842 4.809
Se 0.953 3.414 9.096
Fe 0.953 9.703 2.649
Fe 0.953 7.625 8.681
Fe 2.858 1.849 9.416
Fe 2.858 3.927 3.383
In 2.858 5.621 8.181
In 0.953 5.932 3.883
In 2.858 0.156 2.149
In 0.953 11.397 9.916
```



(4)
KDyYCo2 | PBE-GGA | relaxed

Results
space group: Amm2, No. 38

The structure in extended XYZ format:
```
5
Lattice="-0.333 -1.761 -3.422 -9.191 1.654 0.044 -7.802 4.833 -1.727" Properties=species:S:1:pos:R:3 pbc="T T T"
Y -5.631 2.150 -0.558
Co -3.914 0.550 -2.082
Co -13.385 4.165 -3.021
Dy -11.373 4.341 -1.127
K -0.181 -0.875 -1.713
```



VASP energy (eV/atom)
-3.548; -2.400; -5.384; -5.241